An optimized crystal structure of HoLuMgAg, computed with PBE-GGA.

Cell and atoms, written as POSCAR:
```
HoLuMgAg
1.0
0.000 3.667 3.667
3.667 0.000 3.667
3.667 3.667 0.000
Ho Lu Mg Ag
1 1 1 1
Direct
0.000 0.000 0.000
0.500 0.500 0.500
0.250 0.250 0.250
0.750 0.750 0.750
```

Properties
SG	F-43m (216)
energy relative to the elements	-144	meV/atom
VASP energy	-14.1	eV for the cell shown
volume	24.65	Å³/atom


An optimized crystal structure of HoLuMnAg, computed with PBE-GGA.

Cell and atoms, written as POSCAR:
```
HoLuMnAg
1.0
0.000 3.554 3.554
3.554 0.000 3.554
3.554 3.554 0.000
Ho Lu Mn Ag
1 1 1 1
Direct
0.000 0.000 0.000
0.500 0.500 0.500
0.750 0.750 0.750
0.250 0.250 0.250
```

Properties
SG	F-43m (216)
energy relative to the elements	-24	meV/atom
VASP energy	-21.2	eV for the cell shown
volume	22.44	Å³/atom


An optimized crystal structure of HoLuAgOs, computed with PBE-GGA.

Cell and atoms, written as POSCAR:
```
HoLuAgOs
1.0
0.000 3.456 3.456
3.456 0.000 3.456
3.456 3.456 0.000
Ho Lu Ag Os
1 1 1 1
Direct
0.000 0.000 0.000
0.500 0.500 0.500
0.750 0.750 0.750
0.250 0.250 0.250
```

Properties
SG	F-43m (216)
energy relative to the elements	-327	meV/atom
VASP energy	-24.5	eV for the cell shown
volume	20.64	Å³/atom


Q: The lowest energy relative to the elements belongs to which entry?
A: HoLuAgOs